# 1
A plane-wave DFT calculation with PBE-GGA was carried out for a geometry-optimized P2PbSe structure.

Structure (POSCAR):
```
P2PbSe
1.0
3.897 0.000 0.000
0.000 3.897 0.000
0.000 0.000 5.969
P Pb Se
2 1 1
Cartesian
0.000 0.000 5.537
0.000 0.000 3.417
1.949 1.949 1.492
1.949 1.949 4.477
```

Output
* symmetry: P4/mmm (123)
* DOS at the Fermi energy: 0.449 states/eV/atom
* crystal system: tetragonal
* formation energy from raw total energies: 0.4526 eV/atom
* density: 6.376 g/cm³
* energy above the most stable polymorph in this dataset: 0.471 eV/atom

***

# 2
A plane-wave DFT calculation with PBE-GGA was carried out for a geometry-optimized Cr2AgHg structure.

Structure (POSCAR):
```
Cr2AgHg
1.0
5.998 0.018 0.062
-2.400 4.440 -0.041
1.199 0.670 2.337
Ag Cr Hg
1 2 1
Cartesian
1.799 2.229 0.010
0.000 0.000 0.000
3.598 0.344 1.199
-0.601 2.555 1.148
```

Output
* symmetry: Cmmm (65)
* DOS at the Fermi energy: 0.734 states/eV/atom
* crystal system: orthorhombic
* DFT formation energy: 78.3 kJ/mol of atoms
* density: 11.033 g/cm³

***

# 3
A plane-wave DFT calculation with PBE-GGA was carried out for a geometry-optimized SmTmCo structure.

Structure (POSCAR):
```
SmTmCo
1.0
6.583 0.000 -0.115
0.000 6.674 0.000
-2.073 0.000 6.744
Co Tm Sm
4 4 4
Cartesian
2.870 3.204 1.427
1.640 3.470 5.202
-1.458 0.133 4.856
5.968 6.542 1.772
-0.515 2.272 6.090
5.025 4.402 0.539
0.697 5.609 3.968
3.813 1.065 2.660
1.679 5.619 0.508
3.934 4.393 3.823
2.831 1.055 6.120
0.576 2.282 2.806
```

Output
* symmetry: P2_1/c (14)
* DOS at the Fermi energy: 0.847 states/eV/atom
* crystal system: monoclinic
* DFT formation energy: -6.3 kJ/mol of atoms
* density: 8.524 g/cm³
* energy above the most stable polymorph in this dataset: 0.085 eV/atom

***

# 4
A plane-wave DFT calculation with PBE-GGA was carried out for a geometry-optimized Hg2PF2 structure.

Structure (POSCAR):
```
Hg2PF2
1.0
6.235 0.000 0.000
0.000 6.235 0.000
3.118 3.118 2.932
P Hg F
1 2 2
Cartesian
0.000 0.000 0.000
6.235 3.118 1.466
3.118 6.235 1.466
3.118 3.118 1.206
6.235 6.235 1.726
```

Output
* symmetry: I4/mmm (139)
* DOS at the Fermi energy: 0.314 states/eV/atom
* crystal system: tetragonal
* formation energy from raw total energies: -0.5979 eV/atom
* density: 6.848 g/cm³
* energy above the most stable polymorph in this dataset: 0.000 eV/atom

***

# 5
A plane-wave DFT calculation with PBE-GGA was carried out for a geometry-optimized ZnPtF structure.

Structure (POSCAR):
```
ZnPtF
1.0
4.628 0.000 -0.013
0.000 2.861 0.000
-1.753 0.000 13.579
Zn Pt F
4 4 4
Cartesian
3.267 0.000 1.954
2.391 1.430 8.743
0.090 0.000 11.397
0.967 1.430 4.608
2.011 0.000 6.592
1.134 1.430 13.381
0.548 0.000 0.038
-0.328 1.430 6.827
1.603 0.000 9.971
2.480 1.430 3.182
0.156 0.000 3.408
-0.721 1.430 10.197
```

Output
* symmetry: Cm (8)
* DOS at the Fermi energy: 0.303 states/eV/atom
* crystal system: monoclinic
* formation energy from raw total energies: -1.1754 eV/atom
* density: 10.331 g/cm³
* energy above the most stable polymorph in this dataset: 0.029 eV/atom

***

# 6
A plane-wave DFT calculation with PBE-GGA was carried out for a geometry-optimized La5Pm5Sc2 structure.

Structure (POSCAR):
```
La5Pm5Sc2
1.0
4.976 0.000 1.063
2.189 7.628 1.929
0.293 0.644 10.802
La Pm Sc
5 5 2
Cartesian
3.729 4.136 6.898
2.386 2.557 1.009
4.157 7.092 4.897
3.302 1.180 8.898
5.073 5.715 12.786
6.119 6.649 7.890
3.114 6.152 9.776
4.344 2.120 4.019
1.340 1.623 5.905
0.000 0.000 0.000
5.693 3.677 9.884
1.766 4.594 3.911
```

Output
* symmetry: C2/m (12)
* DOS at the Fermi energy: 1.673 states/eV/atom
* crystal system: monoclinic
* DFT formation energy: 4.1 kJ/mol of atoms
* density: 6.220 g/cm³